Crystalline BeTe2Rh at its relaxed geometry. Source: Alexandria, functional GGA-PBEsol.

Geometry as POSCAR:
```
BeTe2Rh
1.0
3.7828 -1.8259 0.0000
3.7828 1.8259 0.0000
-1.4564 0.0000 5.9730
Be Te Rh
1 2 1
direct
0.0000 0.0000 0.0000
0.1897 0.1897 0.7388
0.4502 0.4502 0.2867
0.7158 0.7158 0.0555
```

Space group: No. 8
Formation energy (no corrections) (eV/atom): -0.25
E (eV/atom): -5.04